[1]
! Si4SbPt | Alexandria via LeMat-Bulk | PBE-GGA | optimized geometry; values from VASP
! SG   F-43m (216)
! E_form (uncorrected)   0.54 eV per atom
! Magnetization   0.0 Bohr magnetons per cell
&SYSTEM
  ibrav = 0, nat = 6, ntyp = 3
/
ATOMIC_SPECIES
Si 28.09 Si.upf
Sb 121.76 Sb.upf
Pt 195.08 Pt.upf
CELL_PARAMETERS angstrom
0.000 3.712 3.712
3.712 0.000 3.712
3.712 3.712 0.000
ATOMIC_POSITIONS angstrom
Si 2.787 2.787 2.787
Si 4.638 2.787 4.638
Si 2.787 4.638 4.638
Si 4.638 4.638 2.787
Sb 0.000 0.000 0.000
Pt 5.569 5.569 5.569

***

[2]
! HoGa6Ni2 | Alexandria via LeMat-Bulk | PBE-GGA | optimized geometry; values from VASP
! SG   Fd-3m (227)
! Energy of formation   -8 meV/atom
! Magnetization   0.0 Bohr magnetons per cell
&SYSTEM
  ibrav = 0, nat = 18, ntyp = 3
/
ATOMIC_SPECIES
Ga 69.72 Ga.upf
Ni 58.69 Ni.upf
Ho 164.93 Ho.upf
CELL_PARAMETERS angstrom
-0.149 5.762 5.640
-5.536 -0.235 5.859
2.207 -1.706 7.566
ATOMIC_POSITIONS angstrom
Ga -2.584 -0.137 11.601
Ga -0.125 2.760 2.942
Ga -3.836 3.832 10.577
Ga 0.979 -0.739 3.845
Ga -2.648 -0.050 3.045
Ga 0.358 -0.012 8.487
Ga -1.614 -0.849 6.590
Ga -0.894 3.957 7.464
Ga 0.279 3.051 11.485
Ga 0.909 1.960 6.487
Ga -3.757 0.770 7.580
Ga -2.718 2.649 5.687
Ni 0.669 -0.375 6.166
Ni -0.509 3.358 5.203
Ni -0.435 0.478 2.383
Ni -3.203 0.360 5.313
Ho -1.739 1.910 9.532
Ho -2.609 2.865 14.299

***

[3]
! LaCe3Y2N6 | Alexandria via LeMat-Bulk | PBE-GGA | optimized geometry; values from VASP
! SG   C2/m (12)
! E_form (uncorrected)   -1.52 eV per atom
! Magnetization   0.7 Bohr magnetons per cell
&SYSTEM
  ibrav = 0, nat = 12, ntyp = 4
/
ATOMIC_SPECIES
N 14.01 N.upf
Y 88.91 Y.upf
Ce 140.12 Ce.upf
La 138.91 La.upf
CELL_PARAMETERS angstrom
6.189 0.000 0.001
-3.093 5.361 0.001
-1.032 -1.786 5.804
ATOMIC_POSITIONS angstrom
N 0.045 0.077 4.324
N -1.073 1.862 1.494
N 3.138 1.712 4.312
N 2.149 0.001 1.494
N 2.020 3.497 1.483
N -0.085 3.573 4.312
Y 3.095 1.787 0.001
Y 0.001 3.574 0.001
Ce -2.058 3.572 2.903
Ce 1.032 1.787 2.903
Ce 4.122 0.003 2.903
La 0.000 0.000 0.000